5
Lattice="4.969 0.000 0.000 0.000 4.969 0.000 0.000 0.000 4.969" Properties=species:S:1:pos:R:3 comment="NaAgPt3 (GGA-PBE, optimized geometry)" formation_enthalpy_0k_kj_per_mol_fu=512 volume_a3_per_atom=24.5 energy_ev_per_atom=-3.3977 spacegroup="Pm-3m, No. 221" relative_energy_mev_per_atom=0 pbc="T T T"
Na 0.000 0.000 0.000
Ag 2.485 2.485 2.485
Pt 0.000 2.485 2.485
Pt 2.485 0.000 2.485
Pt 2.485 2.485 0.000

***

5
Lattice="4.888 0.000 0.000 0.000 4.888 0.000 0.000 0.000 4.888" Properties=species:S:1:pos:R:3 comment="BaLiCo3 (GGA-PBE, optimized geometry)" formation_enthalpy_0k_kj_per_mol_fu=982 volume_a3_per_atom=23.4 energy_ev_per_atom=-2.9958 spacegroup="Pm-3m, No. 221" relative_energy_mev_per_atom=1024 pbc="T T T"
Ba 0.000 0.000 0.000
Li 2.444 2.444 2.444
Co 0.000 0.000 2.444
Co 0.000 2.444 0.000
Co 2.444 0.000 0.000

***

6
Lattice="0.000 3.995 3.995 3.995 0.000 3.995 3.995 3.995 0.000" Properties=species:S:1:pos:R:3 comment="LuPbAu4 (GGA-PBE, optimized geometry)" formation_enthalpy_0k_kj_per_mol_fu=-192 volume_a3_per_atom=21.3 energy_ev_per_atom=-3.8883 spacegroup="F-43m, No. 216" pbc="T T T"
Lu 0.000 0.000 0.000
Pb 1.998 1.998 1.998
Au 4.997 2.993 2.993
Au 2.993 4.997 2.993
Au 2.993 2.993 4.997
Au 4.997 4.997 4.997

***

4
Lattice="3.146 -5.471 0.000 3.146 5.471 0.000 0.000 0.000 3.238" Properties=species:S:1:pos:R:3 comment="K2PtPb (GGA-PBE, optimized geometry)" formation_enthalpy_0k_kj_per_mol_fu=55 volume_a3_per_atom=27.9 energy_ev_per_atom=-2.8432 spacegroup="Cmmm, No. 65" pbc="T T T"
K 1.573 2.735 0.000
K 1.573 -2.735 0.000
Pt 0.000 0.000 1.619
Pb 3.146 0.000 1.619

***

14
Lattice="4.080 2.356 3.758 -4.080 2.356 3.758 0.000 -4.711 3.758" Properties=species:S:1:pos:R:3 comment="Ga4Ni3 (GGA-PBE, optimized geometry)" formation_enthalpy_0k_kj_per_mol_fu=-64 volume_a3_per_atom=15.5 energy_ev_per_atom=-4.3022 spacegroup="R-3m, No. 166" pbc="T T T"
Ga 0.000 0.000 2.368
Ga 0.000 -2.338 4.626
Ga -2.025 1.169 4.626
Ga -2.025 -1.169 6.648
Ga 2.025 1.169 4.626
Ga 2.025 -1.169 6.648
Ga 0.000 2.338 6.648
Ga 0.000 0.000 8.906
Ni 0.000 0.000 0.000
Ni -4.080 0.000 5.637
Ni -2.040 1.178 1.879
Ni 0.000 0.000 4.564
Ni 2.040 1.178 1.879
Ni 0.000 0.000 6.710

***

4
Lattice="3.089 0.000 0.000 0.000 4.122 0.000 -1.327 0.000 5.687" Properties=species:S:1:pos:R:3 comment="Tc2HgSb (GGA-PBE, optimized geometry)" formation_energy_uncorrected_kj_per_mol_fu=224 volume_a3_per_atom=18.1 energy_ev_per_atom=-5.7081 spacegroup="P2/m, No. 10" relative_energy_mev_per_atom=401 pbc="T T T"
Tc 0.033 0.000 1.485
Tc 1.729 0.000 4.202
Hg 1.545 2.061 0.000
Sb 0.881 2.061 2.843

***

9
Lattice="4.206 0.000 0.000 0.000 4.206 0.000 0.000 0.000 9.302" Properties=species:S:1:pos:R:3 comment="NdMgAl2Pd5 (GGA-PBE, optimized geometry)" formation_enthalpy_0k_kj_per_mol_fu=-574 volume_a3_per_atom=18.3 energy_ev_per_atom=-5.0841 spacegroup="P4/mmm, No. 123" pbc="T T T"
Nd 0.000 0.000 0.000
Mg 0.000 0.000 4.651
Al 2.103 2.103 3.386
Al 2.103 2.103 5.916
Pd 0.000 2.103 2.152
Pd 0.000 2.103 7.150
Pd 2.103 0.000 2.152
Pd 2.103 0.000 7.150
Pd 2.103 2.103 0.000

***

3
Lattice="-1.880 1.880 5.615 1.880 -1.880 5.615 1.880 1.880 -5.615" Properties=species:S:1:pos:R:3 comment="CaTlGa (GGA-PBE, optimized geometry)" formation_enthalpy_0k_kj_per_mol_fu=-72 volume_a3_per_atom=26.4 energy_ev_per_atom=-2.7151 spacegroup="I4mm, No. 107" pbc="T T T"
Ca 0.000 0.000 0.000
Tl 0.000 0.000 3.475
Ga 0.000 0.000 7.525

***

5
Lattice="5.934 0.000 0.000 0.000 5.934 0.000 0.000 0.000 5.934" Properties=species:S:1:pos:R:3 comment="BaSb3W (GGA-PBE, optimized geometry)" formation_energy_uncorrected_kj_per_mol_fu=1201 volume_a3_per_atom=41.8 energy_ev_per_atom=-2.9582 spacegroup="Pm-3m, No. 221" relative_energy_mev_per_atom=2429 pbc="T T T"
Ba 0.000 0.000 0.000
Sb 0.000 0.000 2.967
Sb 0.000 2.967 0.000
Sb 2.967 0.000 0.000
W 2.967 2.967 2.967

***

18
Lattice="5.017 0.000 0.000 -2.508 4.345 0.000 0.000 0.000 8.991" Properties=species:S:1:pos:R:3 comment="MgAsRhO6 (GGA-PBE, optimized geometry)" formation_energy_uncorrected_kj_per_mol_fu=-1129 volume_a3_per_atom=10.9 energy_ev_per_atom=-6.1157 spacegroup="P-31c, No. 163" pbc="T T T"
Mg 0.000 0.000 0.000
Mg 0.000 0.000 4.496
As 0.000 2.896 2.248
As 2.508 1.448 6.744
Rh 0.000 2.896 6.744
Rh 2.508 1.448 2.248
O -0.819 1.571 1.222
O -1.557 2.850 3.274
O 0.819 1.571 3.274
O -0.739 4.268 1.222
O 1.770 0.076 5.718
O 0.951 1.494 7.770
O 1.557 2.850 1.222
O 0.739 4.268 3.274
O 3.247 0.076 7.770
O 1.690 2.774 5.718
O 4.066 1.494 5.718
O 3.327 2.774 7.770

***

9
Lattice="7.228 -3.958 0.000 7.228 3.958 0.000 -0.807 0.000 3.334" Properties=species:S:1:pos:R:3 comment="Li6AcAg2 (GGA-PBE, optimized geometry)" formation_enthalpy_0k_kj_per_mol_fu=36 volume_a3_per_atom=21.2 energy_ev_per_atom=-2.3249 spacegroup="C2/m, No. 12" relative_energy_mev_per_atom=160 pbc="T T T"
Li 3.939 1.594 2.729
Li 7.228 2.790 0.000
Li 9.711 1.594 0.605
Li 3.939 -1.594 2.729
Li 7.228 -2.790 0.000
Li 9.711 -1.594 0.605
Ac 6.825 0.000 1.667
Ag 1.548 0.000 2.139
Ag 12.102 0.000 1.195

***

8
Lattice="7.611 0.000 0.000 0.000 4.391 0.000 -2.520 0.000 7.204" Properties=species:S:1:pos:R:3 comment="Pr4Sb2PSe (GGA-PBE, optimized geometry)" formation_energy_uncorrected_kj_per_mol_fu=-1118 volume_a3_per_atom=30.1 energy_ev_per_atom=-5.9801 spacegroup="P2/m, No. 10" pbc="T T T"
Pr 1.221 0.000 1.668
Pr -0.047 2.195 5.503
Pr 5.138 2.195 1.701
Pr 3.870 0.000 5.536
Sb -1.260 0.000 3.602
Sb 2.545 2.195 3.602
P 0.000 2.195 0.000
Se 3.805 0.000 0.000

***

5
Lattice="4.693 0.000 0.000 0.000 4.693 0.000 0.000 0.000 4.674" Properties=species:S:1:pos:R:3 comment="GaIr2PtCl (GGA-PBE, optimized geometry)" formation_energy_uncorrected_kj_per_mol_fu=679 volume_a3_per_atom=20.6 energy_ev_per_atom=-4.3204 spacegroup="P4/mmm, No. 123" pbc="T T T"
Ga 0.000 0.000 0.000
Ir 0.000 2.346 0.000
Ir 2.346 0.000 0.000
Pt 0.000 0.000 2.337
Cl 2.346 2.346 2.337

***

16
Lattice="8.187 0.000 0.000 0.000 7.063 0.000 0.000 0.000 6.403" Properties=species:S:1:pos:R:3 comment="NaLi3Cl4 (GGA-PBE, optimized geometry)" formation_energy_uncorrected_kj_per_mol_fu=-1393 volume_a3_per_atom=23.1 energy_ev_per_atom=-3.6102 spacegroup="Pmn2_1, No. 31" pbc="T T T"
Na 0.000 1.148 0.000
Na 4.093 5.915 3.202
Li 0.000 5.795 3.146
Li 2.024 2.379 3.168
Li 2.069 4.684 6.369
Li 4.093 1.268 6.348
Li 6.118 4.684 6.369
Li 6.163 2.379 3.168
Cl 0.000 1.106 3.663
Cl 0.000 5.640 0.755
Cl 1.889 4.621 3.977
Cl 2.205 2.442 0.775
Cl 4.093 1.424 3.957
Cl 4.093 5.957 0.462
Cl 5.982 2.442 0.775
Cl 6.298 4.621 3.977

***

5
Lattice="5.652 0.000 0.000 0.000 5.652 0.000 0.000 0.000 5.616" Properties=species:S:1:pos:R:3 comment="LaAs2RhSe (GGA-PBE, optimized geometry)" formation_energy_uncorrected_kj_per_mol_fu=472 volume_a3_per_atom=35.9 energy_ev_per_atom=-4.0341 spacegroup="P4/mmm, No. 123" relative_energy_mev_per_atom=1510 pbc="T T T"
La 0.000 0.000 0.000
As 0.000 2.826 0.000
As 2.826 0.000 0.000
Rh 2.826 2.826 2.808
Se 0.000 0.000 2.808

***

4
Lattice="0.000 3.768 3.768 3.768 0.000 3.768 3.768 3.768 0.000" Properties=species:S:1:pos:R:3 comment="PmBiPdPb (GGA-PBE, optimized geometry)" formation_enthalpy_0k_kj_per_mol_fu=-138 volume_a3_per_atom=26.7 energy_ev_per_atom=-4.7419 spacegroup="F-43m, No. 216" pbc="T T T"
Pm 0.000 0.000 0.000
Bi 1.884 1.884 1.884
Pd 5.651 5.651 5.651
Pb 3.768 3.768 3.768

***

8
Lattice="-4.963 4.963 2.341 4.963 -4.963 2.341 4.963 4.963 -2.341" Properties=species:S:1:pos:R:3 comment="Na2GaCu (GGA-PBE, optimized geometry)" formation_enthalpy_0k_kj_per_mol_fu=75 volume_a3_per_atom=28.8 energy_ev_per_atom=-2.2448 spacegroup="I-42d, No. 122" pbc="T T T"
Na 1.158 2.481 0.585
Na -2.481 3.804 1.756
Na -1.158 7.444 0.585
Na 2.481 6.121 1.756
Ga 4.963 0.000 1.170
Ga 0.000 0.000 2.341
Cu 0.000 0.000 0.000
Cu 0.000 4.963 1.170

***

5
Lattice="4.558 0.000 0.000 0.000 4.558 0.000 0.000 0.000 4.185" Properties=species:S:1:pos:R:3 comment="Hf2TiSnC (GGA-PBE, optimized geometry)" formation_enthalpy_0k_kj_per_mol_fu=-244 volume_a3_per_atom=17.4 energy_ev_per_atom=-8.7111 spacegroup="P4/mmm, No. 123" pbc="T T T"
Hf 0.000 2.279 0.000
Hf 2.279 0.000 0.000
Ti 0.000 0.000 2.092
Sn 2.279 2.279 2.092
C 0.000 0.000 0.000